[1]
GGA-PBE Pr2W2N5, optimized geometry; ΔE to the lowest computed polymorph = 0 meV/atom; Fermi-level density of states = 0.29 states/eV/atom; uncorrected formation energy = -0.903 eV/atom; size of the total moment = 0.00 Bohr magnetons per cell; symmetry = Imma, No. 74; crystal system = orthorhombic
1.0
5.402 0.000 -1.770
-0.578 5.341 -1.764
-0.089 -0.078 8.854
Pr W N
4 4 10
Direct
0.880 0.393 0.766 Pr
0.120 0.627 0.234 Pr
0.386 0.893 0.766 Pr
0.614 0.127 0.234 Pr
0.000 0.010 0.000 W
0.500 0.510 0.000 W
0.769 0.759 0.500 W
0.231 0.259 0.500 W
0.764 0.773 0.027 N
0.236 0.746 0.973 N
0.764 0.273 0.027 N
0.236 0.246 0.973 N
0.811 0.879 0.740 N
0.189 0.140 0.260 N
0.429 0.379 0.740 N
0.571 0.640 0.260 N
0.000 0.009 0.500 N
0.000 0.509 0.500 N


[2]
GGA-PBE Pr2W2N5, optimized geometry; ΔE to the lowest computed polymorph = 116 meV/atom; Fermi-level density of states = 0.35 states/eV/atom; uncorrected formation energy = -0.787 eV/atom; size of the total moment = 0.00 Bohr magnetons per cell; symmetry = C2/m, No. 12; crystal system = monoclinic
1.0
-0.281 -0.782 3.862
5.604 -1.496 -1.915
0.203 5.984 1.226
Pr W N
2 2 5
Direct
0.389 0.778 0.691 Pr
0.611 0.222 0.309 Pr
0.142 0.284 0.861 W
0.858 0.716 0.139 W
0.322 0.645 0.042 N
0.678 0.355 0.958 N
0.152 0.305 0.563 N
0.848 0.695 0.437 N
0.000 0.000 0.000 N


[3]
GGA-PBE PrWN4, optimized geometry; Fermi-level density of states = 0.43 states/eV/atom; uncorrected formation energy = -0.008 eV/atom; size of the total moment = 5.99 Bohr magnetons per cell; symmetry = I4_1/a, No. 88; crystal system = tetragonal
1.0
5.510 0.000 0.000
0.000 5.510 0.000
-2.755 -2.755 5.955
Pr W N
2 2 8
Direct
0.000 0.000 0.000 Pr
0.750 0.250 0.500 Pr
0.500 0.500 0.000 W
0.250 0.750 0.500 W
0.011 0.906 0.328 N
0.171 0.261 0.828 N
0.656 0.566 0.828 N
0.316 0.421 0.328 N
0.434 0.829 0.172 N
0.094 0.684 0.672 N
0.579 0.989 0.672 N
0.739 0.344 0.172 N